1.
VASP calculation (PBE) on an optimized crystal structure of AcSmGdY.

Results
* Fermi-level density of states: 1.974 states/eV/atom
* magnetization: 7.88 μB per formula unit
* formation enthalpy at 0 K: 111 meV per atom
* space group: F-43m (216)

```
AcSmGdY
1.0
-1.514 4.313 3.694
-3.937 -1.013 4.245
1.720 -0.202 5.616
Sm Y Ac Gd
1 1 1 1
direct
0.250 0.250 0.250
0.500 0.500 0.500
0.750 0.750 0.750
0.000 0.000 0.000
```

=====

2.
VASP calculation (PBE) on an optimized crystal structure of CaTcBi2.

Results
* energy above the most stable polymorph in this dataset: 0 meV per atom
* Fermi-level density of states: 0.638 states/eV/atom
* magnetization: 0.00 μB per formula unit
* formation enthalpy at 0 K: 73 meV per atom
* space group: Fm-3m (225)

```
CaTcBi2
1.0
1.108 -2.888 4.034
-3.742 -1.911 2.863
-0.982 -4.987 -0.098
Tc Bi Ca
1 2 1
direct
0.500 0.500 0.500
0.250 0.250 0.250
0.750 0.750 0.750
0.000 0.000 0.000
```

=====

3.
VASP calculation (PBE) on an optimized crystal structure of AcPr6Sm6.

Results
* Fermi-level density of states: 1.886 states/eV/atom
* magnetization: 0.00 μB per formula unit
* formation enthalpy at 0 K: 235 meV per atom
* space group: P6/mmm (191)

```
AcPr6Sm6
1.0
6.851 -0.001 0.000
-3.425 5.934 0.000
0.000 0.000 11.712
Pr Sm Ac
6 6 1
direct
0.500 0.000 0.749
0.500 0.500 0.749
0.000 0.500 0.749
0.500 0.000 0.251
0.000 0.500 0.251
0.500 0.500 0.251
0.333 0.667 0.500
0.000 0.000 0.642
0.667 0.333 0.500
0.000 0.000 0.358
0.333 0.667 0.000
0.667 0.333 0.000
0.000 0.000 0.000
```

=====

4.
VASP calculation (PBE) on an optimized crystal structure of Pm5NdN6.

Results
* E_form (uncorrected): -1.4243 eV/atom
* Fermi-level density of states: 0.054 states/eV/atom
* magnetization: 0.00 μB per formula unit
* space group: C2/m (12)

```
Pm5NdN6
1.0
-2.462 -0.947 5.689
4.379 -2.385 3.800
3.651 3.828 3.368
Pm Nd N
5 1 6
direct
0.500 0.833 0.334
0.500 0.500 0.000
0.500 0.167 0.666
0.000 0.667 0.667
0.000 0.333 0.333
0.000 0.000 0.000
0.749 0.084 0.335
0.749 0.419 0.665
0.251 0.916 0.665
0.251 0.251 0.000
0.251 0.581 0.335
0.749 0.749 0.000
```

=====

5.
VASP calculation (PBE) on an optimized crystal structure of Pm4SmOs2.

Results
* Fermi-level density of states: 0.965 states/eV/atom
* magnetization: 0.00 μB per formula unit
* formation enthalpy at 0 K: -36 meV per atom
* space group: P2_1/m (11)

```
Pm4SmOs2
1.0
-5.614 -0.695 -3.275
-2.826 -4.674 5.836
-1.665 7.746 1.211
Pm Os Sm
8 4 2
direct
0.503 0.417 0.760
0.497 0.583 0.240
0.750 0.021 0.377
0.997 0.417 0.760
0.750 0.757 0.678
0.250 0.243 0.322
0.003 0.583 0.240
0.250 0.979 0.623
0.750 0.376 0.409
0.250 0.624 0.591
0.250 0.255 0.980
0.750 0.745 0.020
0.750 0.159 0.030
0.250 0.841 0.970
```

=====

6.
VASP calculation (PBE) on an optimized crystal structure of TbPuMn2.

Results
* Fermi-level density of states: 1.551 states/eV/atom
* magnetization: 0.49 μB per formula unit
* formation enthalpy at 0 K: 115 meV per atom
* space group: Pnma (62)

```
TbPuMn2
1.0
-0.444 -4.405 2.034
2.633 1.583 4.002
-11.300 3.863 5.905
Tb Mn Pu
4 8 4
direct
0.250 0.819 0.659
0.750 0.681 0.159
0.750 0.181 0.341
0.250 0.319 0.841
0.750 0.049 0.767
0.250 0.124 0.465
0.250 0.451 0.267
0.750 0.376 0.965
0.250 0.951 0.233
0.750 0.876 0.535
0.750 0.549 0.733
0.250 0.624 0.035
0.750 0.325 0.588
0.250 0.675 0.412
0.250 0.175 0.088
0.750 0.825 0.912
```

=====

Which formula does entry 2 have? CaTcBi2

=====

What is the formula in the second record? CaTcBi2